VASP calculation (PBE-GGA) on an optimized crystal structure of PrMg2Sn2.

Cell and atoms, written as POSCAR:
```
PrMg2Sn2
1.0
-2.985 -0.247 4.096
5.041 0.187 0.542
-0.524 12.992 0.402
Mg Sn Pr
4 4 2
Direct
0.000 0.000 0.000 Mg
0.000 0.000 0.500 Mg
0.667 0.333 0.750 Mg
0.333 0.667 0.250 Mg
0.667 0.333 0.126 Sn
0.333 0.667 0.874 Sn
0.333 0.667 0.626 Sn
0.667 0.333 0.374 Sn
0.000 0.000 0.750 Pr
0.000 0.000 0.250 Pr
```

Calculated values
As for the space group: P6_3/mmc, No. 194. For the formation energy, the calculation gives -0.05 eV per atom. As for the raw total energy: -3.24 eV/atom.